(1)
This record from the Alexandria database describes an optimized crystal structure of Ba2Ge2S5. The functional is PBE-GGA.

Geometry as extended XYZ:
```
9
Lattice="6.7725 -2.6806 0.0000 6.7725 2.6806 0.0000 -2.5124 0.0000 6.7141" Properties=species:S:1:pos:R:3 pbc="T T T"
Ba 0.6533 0.0000 2.0658
Ba 10.3792 0.0000 4.6483
Ge 4.3706 0.0000 0.7856
Ge 6.6619 0.0000 5.9285
S -0.0639 0.0000 6.1345
S 3.6449 0.0000 2.9438
S 6.7725 0.0000 0.0000
S 7.3876 0.0000 3.7703
S 11.0964 0.0000 0.5796
```

Calculated values
- Symmetry: C2/m
- Volume: 27.09 Å³/atom
- Total energy: -43.2 eV/cell
- Energy relative to the elements, uncorrected: -1054 meV per atom

---

(2)
This record from the Alexandria database describes an optimized crystal structure of Ba2GeS4. The functional is PBE-GGA.

Geometry as extended XYZ:
```
7
Lattice="-2.4474 2.4474 7.7350 2.4474 -2.4474 7.7350 2.4474 2.4474 -7.7350" Properties=species:S:1:pos:R:3 pbc="T T T"
Ba 0.0000 0.0000 2.1445
Ba 0.0000 0.0000 13.3255
Ge 0.0000 0.0000 7.7350
S 2.4474 0.0000 0.0000
S 0.0000 0.0000 5.3171
S 0.0000 2.4474 0.0000
S 0.0000 0.0000 10.1529
```

Calculated values
- Symmetry: I4/mmm
- Volume: 26.47 Å³/atom
- Total energy: -33.5 eV/cell
- Excess energy over the best structure of this formula in the dataset: 236 meV per atom
- Energy relative to the elements, uncorrected: -1223 meV per atom

---

(3)
This record from the Alexandria database describes an optimized crystal structure of Ba5GeS8. The functional is PBE-GGA.

Geometry as extended XYZ:
```
14
Lattice="-4.5252 4.5252 5.4129 4.5252 -4.5252 5.4129 4.5252 4.5252 -5.4129" Properties=species:S:1:pos:R:3 pbc="T T T"
Ba 0.0000 0.0000 0.0000
Ba 2.0799 3.2746 -1.2764
Ba 5.7758 2.0799 1.2764
Ba 2.4453 1.2506 4.1365
Ba -1.2506 2.4453 6.6893
Ge 0.0000 4.5252 2.7064
S 5.0464 2.0609 -1.8983
S 2.7423 0.9271 1.0131
S 3.5981 -1.7829 4.3997
S -0.5213 2.4642 3.5146
S 0.9271 6.3080 -1.0131
S 2.0609 4.0039 1.8983
S 2.4642 0.5213 7.3112
S 1.7829 3.5981 6.4260
```

Calculated values
- Symmetry: I-4
- Volume: 31.67 Å³/atom
- Total energy: -65.6 eV/cell
- Energy relative to the elements, uncorrected: -1309 meV per atom

---

(4)
This record from the Alexandria database describes an optimized crystal structure of Ba2GeS4. The functional is PBE-GGA.

Geometry as extended XYZ:
```
14
Lattice="6.9073 0.0000 0.0000 0.0000 6.8832 0.0000 -2.8367 0.0000 8.5017" Properties=species:S:1:pos:R:3 pbc="T T T"
Ba 1.3560 1.7208 0.3836
Ba 0.3162 1.7208 4.8557
Ba 3.7544 5.1624 3.6460
Ba 2.7146 5.1624 8.1181
Ge -0.7726 5.1624 6.7206
Ge 4.8432 1.7208 1.7811
S -2.0545 0.0246 6.2085
S -2.0545 3.4171 6.2085
S 2.3952 5.1624 0.4321
S 1.0629 5.1624 5.4374
S 3.0077 1.7208 3.0643
S 1.6754 1.7208 8.0696
S 6.1251 3.4662 2.2932
S 6.1251 6.8587 2.2932
```

Calculated values
- Symmetry: P2_1/m
- Volume: 28.87 Å³/atom
- Total energy: -70.4 eV/cell
- Excess energy over the best structure of this formula in the dataset: 0 meV per atom
- Energy relative to the elements, uncorrected: -1458 meV per atom

---

(5)
This record from the Alexandria database describes an optimized crystal structure of BaGeS2. The functional is PBE-GGA.

Geometry as extended XYZ:
```
8
Lattice="-3.1886 3.1886 6.7665 3.1886 -3.1886 6.7665 3.1886 3.1886 -6.7665" Properties=species:S:1:pos:R:3 pbc="T T T"
Ba 0.0000 0.0000 0.0000
Ba 0.0000 3.1886 3.3833
Ge 3.1886 0.0000 3.3833
Ge 0.0000 0.0000 6.7665
S 1.5943 -1.1912 5.0749
S 1.9974 1.5943 1.6916
S 1.5943 4.3798 -1.6916
S 1.1912 1.5943 8.4582
```

Calculated values
- Symmetry: I-42d
- Volume: 34.40 Å³/atom
- Total energy: -36.8 eV/cell
- Energy relative to the elements, uncorrected: -898 meV per atom

---

(6)
This record from the Alexandria database describes an optimized crystal structure of BaGe6S8. The functional is PBE-GGA.

Geometry as extended XYZ:
```
15
Lattice="5.0250 2.9012 4.2365 -5.0250 2.9012 4.2365 0.0000 -5.8024 4.2365" Properties=species:S:1:pos:R:3 pbc="T T T"
Ba 0.0000 0.0000 0.0000
Ge -0.5321 -1.9101 5.0345
Ge -1.3881 1.4159 5.0345
Ge -1.9203 -0.4942 7.6749
Ge 1.9203 0.4942 5.0345
Ge 1.3881 -1.4159 7.6749
Ge 0.5321 1.9101 7.6749
S -3.4493 0.1850 5.1969
S -1.8848 -2.8947 7.5126
S 0.0000 0.0000 3.6002
S 1.5645 -3.0796 5.1969
S -1.5645 3.0796 7.5126
S 0.0000 0.0000 9.1093
S 1.8848 2.8947 5.1969
S 3.4493 -0.1850 7.5126
```

Calculated values
- Symmetry: R-3
- Volume: 24.70 Å³/atom
- Total energy: -68.5 eV/cell
- Energy relative to the elements, uncorrected: -392 meV per atom

---

(7)
This record from the Alexandria database describes an optimized crystal structure of Ba2GeS. The functional is PBE-GGA.

Geometry as extended XYZ:
```
8
Lattice="-4.2046 4.2046 4.6318 4.2046 -4.2046 4.6318 4.2046 4.2046 -4.6318" Properties=species:S:1:pos:R:3 pbc="T T T"
Ba 2.1023 1.8526 -1.1579
Ba 2.3520 -2.1023 5.7897
Ba 2.1023 2.3520 3.4738
Ba 1.8526 6.3069 1.1579
Ge 4.2046 0.0000 2.3159
Ge 0.0000 0.0000 4.6318
S 0.0000 0.0000 0.0000
S 0.0000 4.2046 2.3159
```

Calculated values
- Symmetry: I-42d
- Volume: 40.94 Å³/atom
- Total energy: -31.8 eV/cell
- Excess energy over the best structure of this formula in the dataset: 0 meV per atom
- Energy relative to the elements, uncorrected: -829 meV per atom

---

(8)
This record from the Alexandria database describes an optimized crystal structure of BaGeS2. The functional is PBE-GGA.

Geometry as extended XYZ:
```
4
Lattice="2.3804 1.3743 7.9679 -2.3804 1.3743 7.9679 0.0000 -2.7487 7.9679" Properties=species:S:1:pos:R:3 pbc="T T T"
Ba 0.0000 0.0000 0.0000
Ge 0.0000 0.0000 11.9518
S 0.0000 0.0000 9.5709
S 0.0000 0.0000 14.3328
```

Calculated values
- Symmetry: R-3m
- Volume: 39.10 Å³/atom
- Total energy: -17.6 eV/cell
- Energy relative to the elements, uncorrected: -703 meV per atom

---

(9)
This record from the Alexandria database describes an optimized crystal structure of BaGe2S5. The functional is PBE-GGA.

Geometry as extended XYZ:
```
32
Lattice="0.0000 7.6079 7.6079 7.6079 0.0000 7.6079 7.6079 7.6079 0.0000" Properties=species:S:1:pos:R:3 pbc="T T T"
Ba 0.0000 0.0000 0.0000
Ba 3.8040 3.8040 0.0000
Ba 3.8040 0.0000 3.8040
Ba 0.0000 3.8040 3.8040
Ge 4.4427 4.4427 4.4427
Ge 6.9692 6.9692 4.4427
Ge 6.9692 4.4427 6.9692
Ge 10.7731 8.2466 8.2466
Ge 4.4427 6.9692 6.9692
Ge 8.2466 10.7731 8.2466
Ge 8.2466 8.2466 10.7731
Ge 10.7731 10.7731 10.7731
S 12.0298 6.9900 6.9900
S 5.7059 5.7059 3.0716
S 5.7059 3.0716 5.7059
S 8.3402 5.7059 5.7059
S 3.1860 3.1860 3.1860
S 8.2258 8.2258 3.1860
S 8.2258 3.1860 8.2258
S 9.5099 9.5099 6.8756
S 9.5099 6.8756 9.5099
S 12.1442 9.5099 9.5099
S 3.0716 5.7059 5.7059
S 5.7059 8.3402 5.7059
S 5.7059 5.7059 8.3402
S 6.9900 12.0298 6.9900
S 6.9900 6.9900 12.0298
S 12.0298 12.0298 12.0298
S 6.8756 9.5099 9.5099
S 9.5099 12.1442 9.5099
S 9.5099 9.5099 12.1442
S 3.1860 8.2258 8.2258
```

Calculated values
- Symmetry: Fd-3m
- Volume: 27.52 Å³/atom
- Total energy: -153.9 eV/cell
- Energy relative to the elements, uncorrected: -836 meV per atom

---

(10)
This record from the Alexandria database describes an optimized crystal structure of Ba2GeSb4S10. The functional is PBE-GGA.

Geometry as extended XYZ:
```
68
Lattice="11.6879 0.0000 0.0000 0.0000 11.6879 0.0000 0.0000 0.0000 13.7229" Properties=species:S:1:pos:R:3 pbc="T T T"
Ba 2.7193 3.1247 3.4307
Ba 2.7193 3.1247 10.2922
Ba 3.1247 8.9686 3.4307
Ba 3.1247 8.9686 10.2922
Ba 8.5632 2.7193 3.4307
Ba 8.5632 2.7193 10.2922
Ba 8.9686 8.5632 3.4307
Ba 8.9686 8.5632 10.2922
Ge 0.0000 0.0000 3.4307
Ge 0.0000 0.0000 10.2922
Ge 5.8440 5.8440 3.4307
Ge 5.8440 5.8440 10.2922
Sb 0.4703 1.7510 0.0000
Sb 1.1166 7.3521 6.8614
Sb 1.5081 6.9605 0.0000
Sb 1.7510 11.2176 6.8614
Sb 4.0930 5.3736 6.8614
Sb 4.3358 1.1166 0.0000
Sb 4.7274 1.5081 6.8614
Sb 5.3736 7.5950 0.0000
Sb 6.3143 4.0930 0.0000
Sb 6.9605 10.1798 6.8614
Sb 7.3521 10.5714 0.0000
Sb 7.5950 6.3143 6.8614
Sb 9.9369 0.4703 6.8614
Sb 10.1798 4.7274 0.0000
Sb 10.5714 4.3358 6.8614
Sb 11.2176 9.9369 0.0000
S 0.2720 9.9258 4.7838
S 0.2720 9.9258 8.9391
S 0.2885 8.0688 1.8282
S 0.2885 8.0688 11.8947
S 1.7621 0.2720 2.0776
S 1.7621 0.2720 11.6453
S 2.2249 6.1324 5.0332
S 2.2249 6.1324 8.6896
S 2.6454 2.9801 0.0000
S 2.8639 3.1986 6.8614
S 2.9801 9.0425 6.8614
S 3.1986 8.8240 0.0000
S 3.6191 0.2885 5.0332
S 3.6191 0.2885 8.6896
S 4.0819 6.1159 2.0776
S 4.0819 6.1159 11.6453
S 5.5555 2.2249 1.8282
S 5.5555 2.2249 11.8947
S 5.5720 4.0819 4.7838
S 5.5720 4.0819 8.9391
S 6.1159 7.6061 4.7838
S 6.1159 7.6061 8.9391
S 6.1324 9.4631 1.8282
S 6.1324 9.4631 11.8947
S 7.6061 5.5720 2.0776
S 7.6061 5.5720 11.6453
S 8.0688 11.3994 5.0332
S 8.0688 11.3994 8.6896
S 8.4893 2.8639 0.0000
S 8.7078 2.6454 6.8614
S 8.8240 8.4893 6.8614
S 9.0425 8.7078 0.0000
S 9.4631 5.5555 5.0332
S 9.4631 5.5555 8.6896
S 9.9258 11.4160 2.0776
S 9.9258 11.4160 11.6453
S 11.3994 3.6191 1.8282
S 11.3994 3.6191 11.8947
S 11.4160 1.7621 4.7838
S 11.4160 1.7621 8.9391
```

Calculated values
- Symmetry: P4_2/mbc
- Volume: 27.57 Å³/atom
- Total energy: -316.1 eV/cell
- Energy relative to the elements, uncorrected: -753 meV per atom

---

(11)
This record from the Alexandria database describes an optimized crystal structure of BaGe2SbS6. The functional is PBE-GGA.

Geometry as extended XYZ:
```
20
Lattice="7.0808 -5.1793 0.0000 7.0808 5.1793 0.0000 -4.0309 0.0000 7.3885" Properties=species:S:1:pos:R:3 pbc="T T T"
Ba 4.0576 3.2289 5.5413
Ba 6.0731 -3.2289 1.8471
Ge 0.6073 0.7919 6.1572
Ge 2.6228 -0.7919 2.4629
Ge 7.5079 0.7919 4.9255
Ge 9.5233 -0.7919 1.2313
Sb 6.0731 2.4623 1.8471
Sb 4.0576 -2.4623 5.5413
S -1.3286 0.9237 4.9020
S 1.1933 2.8785 6.7055
S 0.6868 -0.9237 1.2078
S 2.3237 0.4656 4.3850
S 4.3392 -0.4656 0.6907
S 6.9219 2.8785 4.3772
S 3.2088 -2.8785 3.0113
S 5.7915 0.4656 6.6977
S 7.8069 -0.4656 3.0035
S 9.4438 0.9237 6.1807
S 8.9374 -2.8785 0.6830
S 11.4593 -0.9237 2.4865
```

Calculated values
- Symmetry: C2/c
- Volume: 27.10 Å³/atom
- Total energy: -91.8 eV/cell
- Energy relative to the elements, uncorrected: -584 meV per atom

---

(12)
This record from the Alexandria database describes an optimized crystal structure of BaGeSe2S. The functional is PBE-GGA.

Geometry as extended XYZ:
```
5
Lattice="6.0776 0.0000 0.0000 0.0000 6.0776 0.0000 0.0000 0.0000 6.5282" Properties=species:S:1:pos:R:3 pbc="T T T"
Ba 0.0000 0.0000 0.0000
Ge 0.0000 0.0000 3.2641
Se 0.0000 3.0388 0.0000
Se 3.0388 0.0000 0.0000
S 3.0388 3.0388 3.2641
```

Calculated values
- Symmetry: P4/mmm
- Volume: 48.23 Å³/atom
- Total energy: -13.1 eV/cell
- Energy relative to the elements, uncorrected: 905 meV per atom

---

(13)
This record from the Alexandria database describes an optimized crystal structure of BaSiGe2S8. The functional is PBE-GGA.

Geometry as extended XYZ:
```
12
Lattice="5.9189 0.0000 0.0000 -2.9594 5.1259 0.0000 0.0000 0.0000 8.8608" Properties=species:S:1:pos:R:3 pbc="T T T"
Ba 0.0000 0.0000 0.0000
Si 0.0000 0.0000 4.4304
Ge 0.0000 3.4173 6.4157
Ge 2.9594 1.7086 2.4451
S -1.9230 3.6606 2.9784
S 0.7508 1.6303 2.9784
S 1.7873 0.1649 5.8824
S 0.0000 3.4173 8.6250
S 2.9594 1.7086 0.2357
S 1.1722 4.9610 2.9784
S 2.2086 3.4956 5.8824
S 4.8824 1.4654 5.8824
```

Calculated values
- Symmetry: P-3
- Volume: 22.40 Å³/atom
- Total energy: -55.2 eV/cell
- Energy relative to the elements, uncorrected: -470 meV per atom

---

(14)
This record from the Alexandria database describes an optimized crystal structure of BaSiGeS4. The functional is PBE-GGA.

Geometry as extended XYZ:
```
14
Lattice="7.6094 0.0000 0.0000 0.0000 6.6114 0.0000 -2.5941 0.0000 7.5239" Properties=species:S:1:pos:R:3 pbc="T T T"
Ba -0.5410 1.6529 1.8561
Ba 5.5563 4.9586 5.6678
Si 0.3075 1.6529 5.8490
Si 4.7078 4.9586 1.6749
Ge 3.1373 1.6529 1.7490
Ge 1.8780 4.9586 5.7749
S -1.6659 1.6529 6.5744
S 0.5581 3.3295 4.5226
S 0.5581 6.5877 4.5226
S 3.1157 4.9586 0.2303
S 1.8996 1.6529 7.2936
S 4.4572 0.0238 3.0013
S 4.4572 3.2820 3.0013
S 6.6812 4.9586 0.9495
```

Calculated values
- Symmetry: P2_1/m
- Volume: 27.04 Å³/atom
- Total energy: -71.3 eV/cell
- Energy relative to the elements, uncorrected: -1023 meV per atom

---

(15)
This record from the Alexandria database describes an optimized crystal structure of BaTaGe2S8. The functional is PBE-GGA.

Geometry as extended XYZ:
```
12
Lattice="6.1724 0.0000 0.0000 -3.0862 5.3455 0.0000 0.0000 0.0000 8.7079" Properties=species:S:1:pos:R:3 pbc="T T T"
Ba 0.0000 0.0000 0.0000
Ta 0.0000 0.0000 4.3539
Ge 0.0000 3.5637 6.3728
Ge 3.0862 1.7818 2.3351
S -2.0177 3.6858 2.9051
S 0.9030 1.7552 2.9051
S 1.9716 0.0955 5.8028
S 0.0000 3.5637 8.5752
S 3.0862 1.7818 0.1327
S 1.1147 5.2499 2.9051
S 2.1832 3.5903 5.8028
S 5.1039 1.6596 5.8028
```

Calculated values
- Symmetry: P-3
- Volume: 23.94 Å³/atom
- Total energy: -63.9 eV/cell
- Energy relative to the elements, uncorrected: -655 meV per atom

---

(16)
This record from the Alexandria database describes an optimized crystal structure of BaGeTe2S6. The functional is PBE-GGA.

Geometry as extended XYZ:
```
20
Lattice="5.5935 -6.2427 0.0000 5.5935 6.2427 0.0000 -3.7267 0.0000 8.7514" Properties=species:S:1:pos:R:3 pbc="T T T"
Ba 2.7985 5.2751 6.5635
Ba 4.6618 -5.2751 2.1878
Ge 4.6618 2.9656 2.1878
Ge 2.7985 -2.9656 6.5635
Te 0.7804 1.2747 7.2352
Te 2.6437 -1.2747 2.8595
Te 4.8166 1.2747 5.8919
Te 6.6799 -1.2747 1.5162
S 2.9712 4.5500 3.0845
S 0.6269 3.4482 8.2465
S 6.3524 4.5500 1.2912
S 1.7098 0.3616 4.2357
S -0.1536 -0.3616 8.6114
S 4.9700 3.4482 4.8805
S 2.4902 -3.4482 3.8708
S 7.6138 0.3616 0.1400
S 5.7505 -0.3616 4.5156
S 1.1078 -4.5500 7.4601
S 6.8334 -3.4482 0.5048
S 4.4891 -4.5500 5.6669
```

Calculated values
- Symmetry: C2/c
- Volume: 30.56 Å³/atom
- Total energy: -82.5 eV/cell
- Energy relative to the elements, uncorrected: -367 meV per atom

---

(17)
This record from the Alexandria database describes an optimized crystal structure of BaTiGeS2. The functional is PBE-GGA.

Geometry as extended XYZ:
```
5
Lattice="4.8724 0.0000 0.0000 0.0000 4.8724 0.0000 0.0000 0.0000 4.9823" Properties=species:S:1:pos:R:3 pbc="T T T"
Ba 0.0000 0.0000 0.0000
Ti 2.4362 2.4362 2.4911
Ge 2.4362 2.4362 0.0000
S 0.0000 2.4362 2.4911
S 2.4362 0.0000 2.4911
```

Calculated values
- Symmetry: P4/mmm
- Volume: 23.66 Å³/atom
- Total energy: -27.7 eV/cell
- Energy relative to the elements, uncorrected: -1003 meV per atom

---

(18)
This record from the Alexandria database describes an optimized crystal structure of BaTiGe2S8. The functional is PBE-GGA.

Geometry as extended XYZ:
```
12
Lattice="6.0265 0.0000 0.0000 -3.0133 5.2191 0.0000 0.0000 0.0000 8.7704" Properties=species:S:1:pos:R:3 pbc="T T T"
Ba 0.0000 0.0000 0.0000
Ti 0.0000 0.0000 4.3852
Ge 0.0000 3.4794 6.4318
Ge 3.0133 1.7397 2.3386
S -1.9223 3.6254 2.9188
S 0.8347 1.7416 2.9188
S 0.0000 3.4794 8.6465
S 1.9256 0.1479 5.8516
S 1.0876 5.0712 2.9188
S 3.0133 1.7397 0.1239
S 2.1786 3.4775 5.8516
S 4.9356 1.5937 5.8516
```

Calculated values
- Symmetry: P-3
- Volume: 22.99 Å³/atom
- Total energy: -59.8 eV/cell
- Energy relative to the elements, uncorrected: -648 meV per atom